P:
HgBF3 after structural relaxation, computed with PBE-GGA.

Structure (POSCAR):
```
HgBF3
1.0
-0.7019 -3.8749 -2.2554
4.4287 -0.2433 -0.9602
0.6990 -2.3495 3.8191
B F Hg
1 3 1
direct
0.5000 0.5000 0.5000
0.0000 0.0000 0.5000
0.5000 0.0000 0.0000
0.0000 0.5000 0.0000
0.0000 0.0000 0.0000
```

Computed properties:
total magnetization: 0.00 μB per formula unit
calculated volume: 93.5 Å³/cell

=====

Q:
HgBF3 after structural relaxation, computed with PBE-GGA.

Structure (POSCAR):
```
HgBF3
1.0
12.1718 -0.0001 4.1804
-0.0008 5.2659 0.0008
9.6428 -0.0012 6.8554
F B Hg
6 2 2
direct
0.2851 0.9685 0.1061
0.7149 0.4684 0.8939
0.2851 0.5315 0.1061
0.9841 0.7500 0.2796
0.7149 0.0315 0.8939
0.0159 0.2500 0.7204
0.8141 0.2500 0.8370
0.1859 0.7500 0.1630
0.2776 0.7500 0.6677
0.7224 0.2500 0.3323
```

Computed properties:
total magnetization: 0.00 μB per formula unit
calculated volume: 227.1 Å³/cell

=====

Looking at the structures above, which would you pick as the most stable? I would pick Q.